(1)
The following is a PBE with a Hubbard U calculation of a geometry-optimized LiW2O structure, from the Alexandria database.

Geometry as CIF:
```
data_LiW2O
_chemical_formula_sum 'Li4 W8 O4'
_space_group_name_H-M_alt 'I -4 2 d'
_space_group_IT_number 122
_space_group_name_Hall 'I -4 2bw'
_cell_length_a 7.5557
_cell_length_b 7.5557
_cell_length_c 3.7951
_cell_angle_alpha 90.00
_cell_angle_beta 90.00
_cell_angle_gamma 90.00
loop_
_atom_site_label
_atom_site_type_symbol
_atom_site_fract_x
_atom_site_fract_y
_atom_site_fract_z
_atom_site_occupancy
Li1 Li 0.0000 0.0000 0.0000 1
W1 W 0.1365 0.7500 0.6250 1
O1 O 0.0000 0.0000 0.5000 1
```


(2)
The following is a PBE with a Hubbard U calculation of a geometry-optimized LiWO2 structure, from the Alexandria database.

Output
- Energy above the most stable polymorph in this dataset: 0.394 eV/atom

Geometry as CIF:
```
data_LiWO2
_chemical_formula_sum 'Li4 W4 O8'
_space_group_name_H-M_alt 'I -4 2 d'
_space_group_IT_number 122
_space_group_name_Hall 'I -4 2bw'
_cell_length_a 4.3449
_cell_length_b 4.3449
_cell_length_c 11.4548
_cell_angle_alpha 90.00
_cell_angle_beta 90.00
_cell_angle_gamma 90.00
loop_
_atom_site_label
_atom_site_type_symbol
_atom_site_fract_x
_atom_site_fract_y
_atom_site_fract_z
_atom_site_occupancy
Li1 Li 0.0000 0.0000 0.0000 1
W1 W 0.0000 0.0000 0.5000 1
O1 O 0.2378 0.2500 0.6250 1
```


(3)
The following is a PBE with a Hubbard U calculation of a geometry-optimized Li2WO4 structure, from the Alexandria database.

Output
- Energy above the most stable polymorph in this dataset: 0.000 eV/atom

Geometry as CIF:
```
data_Li2WO4
_chemical_formula_sum 'Li8 W4 O16'
_space_group_name_H-M_alt 'P 41 2 2'
_space_group_IT_number 91
_space_group_name_Hall 'P 4w 2c'
_cell_length_a 6.1431
_cell_length_b 6.1431
_cell_length_c 8.3760
_cell_angle_alpha 90.00
_cell_angle_beta 90.00
_cell_angle_gamma 90.00
loop_
_atom_site_label
_atom_site_type_symbol
_atom_site_fract_x
_atom_site_fract_y
_atom_site_fract_z
_atom_site_occupancy
Li1 Li 0.0000 0.2233 0.0000 1
Li2 Li 0.2549 0.2549 0.3750 1
W1 W 0.2213 0.5000 0.7500 1
O1 O 0.0308 0.2700 0.7439 1
O2 O 0.2722 0.4831 0.9801 1
```


(4)
The following is a PBE with a Hubbard U calculation of a geometry-optimized LiWO3 structure, from the Alexandria database.

Geometry as CIF:
```
data_LiWO3
_chemical_formula_sum 'Li4 W4 O12'
_space_group_name_H-M_alt 'C 1 2/m 1'
_space_group_IT_number 12
_space_group_name_Hall '-C 2y'
_cell_length_a 5.2931
_cell_length_b 9.4470
_cell_length_c 5.3542
_cell_angle_alpha 90.00
_cell_angle_beta 113.53
_cell_angle_gamma 90.00
loop_
_atom_site_label
_atom_site_type_symbol
_atom_site_fract_x
_atom_site_fract_y
_atom_site_fract_z
_atom_site_occupancy
Li1 Li 0.1555 0.0000 0.3540 1
W1 W 0.0000 0.3356 0.0000 1
O1 O 0.2182 0.5000 0.2372 1
O2 O 0.2292 0.3250 0.7931 1
```


(5)
The following is a PBE with a Hubbard U calculation of a geometry-optimized Li4WO5 structure, from the Alexandria database.

Output
- Energy above the most stable polymorph in this dataset: 0.060 eV/atom

Geometry as CIF:
```
data_Li4WO5
_chemical_formula_sum 'Li8 W2 O10'
_space_group_name_H-M_alt 'P -1'
_space_group_IT_number 2
_space_group_name_Hall '-P 1'
_cell_length_a 5.3182
_cell_length_b 5.8038
_cell_length_c 7.2857
_cell_angle_alpha 106.56
_cell_angle_beta 100.41
_cell_angle_gamma 104.00
loop_
_atom_site_label
_atom_site_type_symbol
_atom_site_fract_x
_atom_site_fract_y
_atom_site_fract_z
_atom_site_occupancy
Li1 Li 0.0000 0.0000 0.0000 1
Li2 Li 0.0000 0.0000 0.5000 1
Li3 Li 0.2093 0.3720 0.3966 1
Li4 Li 0.2300 0.6756 0.2411 1
Li5 Li 0.3294 0.3024 0.8569 1
W1 W 0.3826 0.7770 0.7770 1
O1 O 0.1077 0.9395 0.7364 1
O2 O 0.1139 0.4560 0.6988 1
O3 O 0.3437 0.3665 0.1360 1
O4 O 0.3507 0.8694 0.0784 1
O5 O 0.4616 0.7493 0.5360 1
```


(6)
The following is a PBE with a Hubbard U calculation of a geometry-optimized LiWO2 structure, from the Alexandria database.

Output
- Energy above the most stable polymorph in this dataset: 0.465 eV/atom

Geometry as CIF:
```
data_LiWO2
_chemical_formula_sum 'Li3 W3 O6'
_space_group_name_H-M_alt 'R -3 m'
_space_group_IT_number 166
_space_group_name_Hall '-R 3 2"'
_cell_length_a 2.8307
_cell_length_b 2.8307
_cell_length_c 19.0420
_cell_angle_alpha 90.00
_cell_angle_beta 90.00
_cell_angle_gamma 120.00
loop_
_atom_site_label
_atom_site_type_symbol
_atom_site_fract_x
_atom_site_fract_y
_atom_site_fract_z
_atom_site_occupancy
Li1 Li 0.0000 0.0000 0.0000 1
W1 W 0.0000 0.0000 0.5000 1
O1 O 0.0000 0.0000 0.0921 1
```


Quick rundown of total moment, same order as above: 0.000; 11.974; 0.000; 4.000; 0.000; 0.000 μB per cell
Quick rundown of raw total energy, same order as above: -4.992; -6.093; -6.551; -6.866; -6.055; -6.022 eV/atom